[1]
First-principles (PBE-GGA) data for a geometry-optimized ScTlIr2Br structure, as listed in Alexandria via LeMat-Bulk.

Output
ΔE_f (raw)   7.391 eV per formula unit

Lattice parameters (Å, degrees): 5.0185 5.0185 5.4950 90.00 90.00 90.00
Last column: nearest neighbours and their distance in Å.
Space group P4/mmm (No. 123)
Asymmetric unit:
Sc  0.0000  0.0000  0.0000 x1  2 Tl 2.75
Tl  0.0000  0.0000  0.5000 x1  4 Ir 2.51, 2 Sc 2.75
Ir  0.0000  0.5000  0.5000 x2  2 Tl 2.51
Br  0.5000  0.5000  0.0000 x1  4 Sc 3.55, 8 Ir 3.72

=====

[2]
First-principles (PBE-GGA) data for a geometry-optimized TbNdGdZr structure, as listed in Alexandria via LeMat-Bulk.

Output
Calculated formation energy   5.1 kcal/mol of atoms

Lattice parameters (Å, degrees): 7.8601 7.8601 7.8601 90.00 90.00 90.00
Last column: nearest neighbours and their distance in Å.
Space group F-43m (No. 216)
Asymmetric unit:
Tb  0.0000  0.0000  0.0000 x4  4 Zr 3.40, 4 Nd 3.40
Nd  0.2500  0.2500  0.7500 x4  4 Gd 3.40, 4 Tb 3.40
Gd  0.0000  0.0000  0.5000 x4  4 Zr 3.40, 4 Nd 3.40
Zr  0.2500  0.2500  0.2500 x4  4 Gd 3.40, 4 Tb 3.40

=====

Number 1: density 8.6 g cm⁻³, M_tot 1.53 Bohr magnetons per cell. Number 2: density 7.5 g cm⁻³, M_tot 37.63 Bohr magnetons per cell.